A plane-wave DFT calculation with PBE-GGA was carried out for an optimized crystal structure of Cs3In2Sn2Sb4.

Cell lengths 5.2540, 5.2540, 20.2227 Å; angles 90.00, 90.00, 120.00 degrees
Positions (direct):
Cs  0.0000  0.0000  0.0000
Cs  0.0000  0.0000  0.2872
Cs  0.0000  0.0000  0.7128
In  0.3333  0.6667  0.1451
In  0.6667  0.3333  0.8549
Sn  0.3333  0.6667  0.5575
Sn  0.6667  0.3333  0.4425
Sb  0.3333  0.6667  0.4127
Sb  0.3333  0.6667  0.8560
Sb  0.6667  0.3333  0.1440
Sb  0.6667  0.3333  0.5873

## Properties
electronic total energy = -3.173 eV/atom
crystal system = trigonal
M_tot = 0.0 μB per cell
density = 4.6 Mg/m³